[1]
The following is a DFT calculation (PBE) of a geometry-optimized KIrRu2 structure.

Output
For the density of states at the Fermi level, the calculation gives 1.760 states/eV per atom. The formation energy is 1.34 eV per atom. As for the total energy: -5.79 eV/atom.

CIF file:
```
data_KIrRu2
_chemical_formula_sum 'K4 Ir4 Ru8'
_symmetry_space_group_name_H-M 'F m -3 m'
_symmetry_Int_Tables_number 225
_symmetry_space_group_name_Hall '-F 4 2 3'
_cell_length_a 6.413
_cell_length_b 6.413
_cell_length_c 6.413
_cell_angle_alpha 90.00
_cell_angle_beta 90.00
_cell_angle_gamma 90.00
loop_
_atom_site_label
_atom_site_fract_x
_atom_site_fract_y
_atom_site_fract_z
K1 0.000 0.000 0.000
Ir1 0.000 0.000 0.500
Ru1 0.250 0.250 0.250
```

[2]
The following is a DFT calculation (PBE) of a geometry-optimized KIr2Ru structure.

Output
For the density of states at the Fermi level, the calculation gives 1.840 states/eV per atom. The formation energy is 1.31 eV per atom. As for the total energy: -5.71 eV/atom.

CIF file:
```
data_KIr2Ru
_chemical_formula_sum 'K4 Ir8 Ru4'
_symmetry_space_group_name_H-M 'F -4 3 m'
_symmetry_Int_Tables_number 216
_symmetry_space_group_name_Hall 'F -4 2 3'
_cell_length_a 6.445
_cell_length_b 6.445
_cell_length_c 6.445
_cell_angle_alpha 90.00
_cell_angle_beta 90.00
_cell_angle_gamma 90.00
loop_
_atom_site_label
_atom_site_fract_x
_atom_site_fract_y
_atom_site_fract_z
K1 0.000 0.000 0.000
Ir1 0.000 0.000 0.500
Ir2 0.250 0.250 0.750
Ru1 0.250 0.250 0.250
```

[3]
The following is a DFT calculation (PBE) of a geometry-optimized K2IrRu structure.

Output
For the density of states at the Fermi level, the calculation gives 0.654 states/eV per atom. The formation energy is 1.28 eV per atom. As for the total energy: -3.80 eV/atom.

CIF file:
```
data_K2IrRu
_chemical_formula_sum 'K8 Ir4 Ru4'
_symmetry_space_group_name_H-M 'F -4 3 m'
_symmetry_Int_Tables_number 216
_symmetry_space_group_name_Hall 'F -4 2 3'
_cell_length_a 7.064
_cell_length_b 7.064
_cell_length_c 7.064
_cell_angle_alpha 90.00
_cell_angle_beta 90.00
_cell_angle_gamma 90.00
loop_
_atom_site_label
_atom_site_fract_x
_atom_site_fract_y
_atom_site_fract_z
K1 0.000 0.000 0.000
K2 0.250 0.250 0.250
Ir1 0.000 0.000 0.500
Ru1 0.250 0.250 0.750
```

[4]
The following is a DFT calculation (PBE) of a geometry-optimized KIr2Ru structure.

Output
For the density of states at the Fermi level, the calculation gives 1.171 states/eV per atom. The formation energy is 1.19 eV per atom. As for the total energy: -5.84 eV/atom.

CIF file:
```
data_KIr2Ru
_chemical_formula_sum 'K1 Ir2 Ru1'
_symmetry_space_group_name_H-M 'P 4/m m m'
_symmetry_Int_Tables_number 123
_symmetry_space_group_name_Hall '-P 4 2'
_cell_length_a 5.063
_cell_length_b 5.063
_cell_length_c 2.702
_cell_angle_alpha 90.00
_cell_angle_beta 90.00
_cell_angle_gamma 90.00
loop_
_atom_site_label
_atom_site_fract_x
_atom_site_fract_y
_atom_site_fract_z
K1 0.000 0.000 0.000
Ir1 0.000 0.500 0.500
Ru1 0.500 0.500 0.000
```

[5]
The following is a DFT calculation (PBE) of a geometry-optimized K2IrRu structure.

Output
For the density of states at the Fermi level, the calculation gives 0.671 states/eV per atom. The formation energy is 0.49 eV per atom. As for the total energy: -4.59 eV/atom.

CIF file:
```
data_K2IrRu
_chemical_formula_sum 'K2 Ir1 Ru1'
_symmetry_space_group_name_H-M 'P 1 m 1'
_symmetry_Int_Tables_number 6
_cell_length_a 2.850
_cell_length_b 3.964
_cell_length_c 10.089
_cell_angle_alpha 90.00
_cell_angle_beta 90.51
_cell_angle_gamma 90.00
loop_
_symmetry_equiv_pos_as_xyz
'x,y,z'
'x,-y,z'
loop_
_atom_site_label
_atom_site_fract_x
_atom_site_fract_y
_atom_site_fract_z
K1 0.000 0.000 0.000
K2 0.469 0.500 0.430
Ir1 0.983 0.000 0.673
Ru1 0.486 0.500 0.752
```

[6]
The following is a DFT calculation (PBE) of a geometry-optimized KIr2Ru structure.

Output
For the density of states at the Fermi level, the calculation gives 1.269 states/eV per atom. The formation energy is 0.84 eV per atom. As for the total energy: -6.19 eV/atom.

CIF file:
```
data_KIr2Ru
_chemical_formula_sum 'K2 Ir4 Ru2'
_symmetry_space_group_name_H-M 'I m m 2'
_symmetry_Int_Tables_number 44
_cell_length_a 2.720
_cell_length_b 5.045
_cell_length_c 10.410
_cell_angle_alpha 90.00
_cell_angle_beta 90.00
_cell_angle_gamma 90.00
loop_
_symmetry_equiv_pos_as_xyz
'x,y,z'
'-x,-y,z'
'-x,y,z'
'x,-y,z'
'x+1/2,y+1/2,z+1/2'
'-x+1/2,-y+1/2,z+1/2'
'-x+1/2,y+1/2,z+1/2'
'x+1/2,-y+1/2,z+1/2'
loop_
_atom_site_label
_atom_site_fract_x
_atom_site_fract_y
_atom_site_fract_z
K1 0.000 0.000 0.000
Ir1 0.000 0.000 0.496
Ir2 0.000 0.500 0.214
Ru1 0.000 0.500 0.785
```